The following is a PBE calculation of crystalline ZrIn2Ni2 at its relaxed geometry, from Alexandria via LeMat-Bulk.

Calculated values
D(E_F) ... 9.6 states/eV per cell
DFT formation energy ... -0.043 eV/atom
Uncorrected energy ... -5.161 eV/atom
Space-group type ... I4/mmm (139)
Distance to the lowest polymorph of the same formula ... 119 meV per atom
Crystal system ... tetragonal

Unit cell a=4.0348 b=4.0348 c=11.1968 alpha=90.00 beta=90.00 gamma=90.00
With the nearest neighbours (Å) after each atom.
Fractional coordinates of all 10 atoms:
Zr: 0.0000 0.0000 0.0000  8 Ni 3.06
Zr: 0.5000 0.5000 0.5000  8 Ni 3.06
In: 0.0000 0.5000 0.2500  4 Ni 2.63, 4 In 2.85
In: 0.0000 0.5000 0.7500  4 Ni 2.63, 4 In 2.85
In: 0.5000 0.0000 0.2500  4 Ni 2.63, 4 In 2.85
In: 0.5000 0.0000 0.7500  4 Ni 2.63, 4 In 2.85
Ni: 0.0000 0.0000 0.4008  1 Ni 2.22
Ni: 0.0000 0.0000 0.5992  1 Ni 2.22
Ni: 0.5000 0.5000 0.0992  1 Ni 2.22
Ni: 0.5000 0.5000 0.9008  1 Ni 2.22

---

The following is a PBE calculation of crystalline ZrIn2Ni at its relaxed geometry, from Alexandria via LeMat-Bulk.

Calculated values
D(E_F) ... 8.6 states/eV per cell
DFT formation energy ... -0.019 eV/atom
Uncorrected energy ... -4.971 eV/atom
Space-group type ... R3m (160)
Crystal system ... trigonal

Unit cell a=3.4314 b=3.4314 c=25.7831 alpha=90.00 beta=90.00 gamma=120.00
With the nearest neighbours (Å) after each atom.
Fractional coordinates of all 12 atoms:
Zr: 0.0000 0.0000 0.0000  3 Ni 2.53
Zr: 0.3333 0.6667 0.6667  3 Ni 2.53
Zr: 0.6667 0.3333 0.3333  3 Ni 2.53
In: 0.0000 0.0000 0.2344  3 Zr 3.23, 9 In 3.24-3.43
In: 0.0000 0.0000 0.4681  3 Ni 2.74
In: 0.3333 0.6667 0.1348  3 Ni 2.74
In: 0.3333 0.6667 0.9011  3 Zr 3.23, 9 In 3.24-3.43
In: 0.6667 0.3333 0.5677  3 Zr 3.23, 9 In 3.24-3.43
In: 0.6667 0.3333 0.8015  3 Ni 2.74
Ni: 0.0000 0.0000 0.7278  3 Zr 2.53, 3 In 2.74
Ni: 0.3333 0.6667 0.3945  3 Zr 2.53, 3 In 2.74
Ni: 0.6667 0.3333 0.0612  3 Zr 2.53, 3 In 2.74

---

The following is a PBE calculation of crystalline ZrIn2Ni at its relaxed geometry, from Alexandria via LeMat-Bulk.

Calculated values
D(E_F) ... 3.5 states/eV per cell
DFT formation energy ... -0.071 eV/atom
Uncorrected energy ... -5.023 eV/atom
Space-group type ... P2/m (10)
Crystal system ... monoclinic

Unit cell a=3.1747 b=4.4392 c=5.7534 alpha=90.00 beta=101.22 gamma=90.00
With the nearest neighbours (Å) after each atom.
Fractional coordinates of all 4 atoms:
Zr: 0.0000 0.0000 0.0000  2 Ni 3.00, 8 In 3.06-3.18, 2 Zr 3.17
In: 0.3696 0.5000 0.7335  2 Ni 2.67, 1 In 2.96
In: 0.6304 0.5000 0.2665  2 Ni 2.67, 1 In 2.96
Ni: 0.5000 0.0000 0.5000  4 In 2.67

---

The following is a PBE calculation of crystalline ZrInNi6 at its relaxed geometry, from Alexandria via LeMat-Bulk.

Calculated values
D(E_F) ... 37.5 states/eV per cell
DFT formation energy ... -0.249 eV/atom
Uncorrected energy ... -5.996 eV/atom
Space-group type ... Cmmm (65)
Crystal system ... orthorhombic

Unit cell a=6.4919 b=6.4919 c=10.5989 alpha=90.00 beta=90.00 gamma=109.49
With the nearest neighbours (Å) after each atom.
Fractional coordinates of all 32 atoms:
Zr: 0.0000 0.0000 0.2487  12 Ni 2.64-2.66
Zr: 0.0000 0.0000 0.7513  12 Ni 2.64-2.66
Zr: 0.2474 0.7526 0.5000  12 Ni 2.62-2.68
Zr: 0.7526 0.2474 0.5000  12 Ni 2.62-2.68
In: 0.2469 0.7531 0.0000  12 Ni 2.62-2.68
In: 0.5000 0.5000 0.2500  12 Ni 2.64-2.66
In: 0.5000 0.5000 0.7500  12 Ni 2.64-2.66
In: 0.7531 0.2469 0.0000  12 Ni 2.62-2.68
Ni: 0.0000 0.0000 0.0000  2 In 2.62, 2 Zr 2.64, 8 Ni 2.66
Ni: 0.0000 0.0000 0.5000  4 Zr 2.62-2.66, 8 Ni 2.65
Ni: 0.1248 0.3755 0.3754  3 Zr 2.63-2.66, 8 Ni 2.64-2.66, 1 In 2.65
Ni: 0.1248 0.3755 0.6246  3 Zr 2.63-2.66, 8 Ni 2.64-2.66, 1 In 2.65
Ni: 0.1264 0.3762 0.1256  3 In 2.64-2.66, 8 Ni 2.65-2.66, 1 Zr 2.65
Ni: 0.1264 0.3762 0.8744  3 In 2.64-2.66, 8 Ni 2.65-2.66, 1 Zr 2.65
Ni: 0.2488 0.7512 0.2504  2 Zr 2.64-2.65, 8 Ni 2.64-2.65, 2 In 2.65-2.66
Ni: 0.2488 0.7512 0.7496  2 Zr 2.64-2.65, 8 Ni 2.64-2.65, 2 In 2.65-2.66
Ni: 0.3755 0.1248 0.3754  3 Zr 2.63-2.66, 8 Ni 2.64-2.66, 1 In 2.65
Ni: 0.3755 0.1248 0.6246  3 Zr 2.63-2.66, 8 Ni 2.64-2.66, 1 In 2.65
Ni: 0.3762 0.1264 0.1256  3 In 2.64-2.66, 8 Ni 2.65-2.66, 1 Zr 2.65
Ni: 0.3762 0.1264 0.8744  3 In 2.64-2.66, 8 Ni 2.65-2.66, 1 Zr 2.65
Ni: 0.5000 0.5000 0.0000  8 Ni 2.65, 4 In 2.65-2.68
Ni: 0.5000 0.5000 0.5000  8 Ni 2.65, 2 In 2.65, 2 Zr 2.68
Ni: 0.6238 0.8736 0.1256  3 In 2.64-2.66, 8 Ni 2.65-2.66, 1 Zr 2.65
Ni: 0.6238 0.8736 0.8744  3 In 2.64-2.66, 8 Ni 2.65-2.66, 1 Zr 2.65
Ni: 0.6245 0.8752 0.3754  3 Zr 2.63-2.66, 8 Ni 2.64-2.66, 1 In 2.65
Ni: 0.6245 0.8752 0.6246  3 Zr 2.63-2.66, 8 Ni 2.64-2.66, 1 In 2.65
Ni: 0.7512 0.2488 0.2504  2 Zr 2.64-2.65, 8 Ni 2.64-2.65, 2 In 2.65-2.66
Ni: 0.7512 0.2488 0.7496  2 Zr 2.64-2.65, 8 Ni 2.64-2.65, 2 In 2.65-2.66
Ni: 0.8736 0.6238 0.1256  3 In 2.64-2.66, 8 Ni 2.65-2.66, 1 Zr 2.65
Ni: 0.8736 0.6238 0.8744  3 In 2.64-2.66, 8 Ni 2.65-2.66, 1 Zr 2.65
Ni: 0.8752 0.6245 0.3754  3 Zr 2.63-2.66, 8 Ni 2.64-2.66, 1 In 2.65
Ni: 0.8752 0.6245 0.6246  3 Zr 2.63-2.66, 8 Ni 2.64-2.66, 1 In 2.65